Entry 1:
## Cs8K6O (PBE)

Data for a relaxed structure of Cs8K6O.

Space-group type: R-3
Crystal system: trigonal

abc: 11.1639 11.1639 11.1639
angles: 71.86 71.86 71.86
Closest atoms and distances in Å follow each position.
Fractional coordinates of all 15 atoms:
1 Cs 0.0950 0.7276 0.9703  1 O 2.98
2 Cs 0.0297 0.9050 0.2724  1 O 2.98
3 Cs 0.2724 0.0297 0.9050  1 O 2.98
4 Cs 0.7360 0.7360 0.7360  6 K 4.84-4.93, 6 Cs 5.32-5.39
5 Cs 0.2640 0.2640 0.2640  6 K 4.84-4.93, 6 Cs 5.32-5.39
6 Cs 0.7276 0.9703 0.0950  1 O 2.98
7 Cs 0.9703 0.0950 0.7276  1 O 2.98
8 Cs 0.9050 0.2724 0.0297  1 O 2.98
9 K 0.1870 0.4963 0.5923  4 K 4.61-4.81, 3 Cs 4.84-5.04
10 K 0.4077 0.8130 0.5037  4 K 4.61-4.81, 3 Cs 4.84-5.04
11 K 0.5037 0.4077 0.8130  4 K 4.61-4.81, 3 Cs 4.84-5.04
12 K 0.4963 0.5923 0.1870  4 K 4.61-4.81, 3 Cs 4.84-5.04
13 K 0.5923 0.1870 0.4963  4 K 4.61-4.81, 3 Cs 4.84-5.04
14 K 0.8130 0.5037 0.4077  4 K 4.61-4.81, 3 Cs 4.84-5.04
15 O 0.0000 0.0000 0.0000  6 Cs 2.98

---

Entry 2:
## Cs4K6O (PBE)

Data for a relaxed structure of Cs4K6O.

Space-group type: P6_3mc
Crystal system: hexagonal

abc: 9.2555 14.7922 14.7921
angles: 120.00 90.00 90.00
Closest atoms and distances in Å follow each position.
Fractional coordinates of all 22 atoms:
1 Cs 0.4867 0.3333 0.6667  1 O 2.64
2 Cs 0.9867 0.6667 0.3333  1 O 2.64
3 Cs 0.8478 0.5359 0.7680  1 O 2.69
4 Cs 0.8478 0.2320 0.4641  1 O 2.69
5 Cs 0.8478 0.2320 0.7680  1 O 2.69
6 Cs 0.3478 0.4641 0.2320  1 O 2.69
7 Cs 0.3478 0.7680 0.5359  1 O 2.69
8 Cs 0.3478 0.7680 0.2320  1 O 2.69
9 K 0.3597 0.7704 0.8852  8 K 5.09-5.48, 4 Cs 5.15-5.61
10 K 0.3597 0.1148 0.2296  8 K 5.09-5.48, 4 Cs 5.15-5.61
11 K 0.3597 0.1148 0.8852  8 K 5.09-5.48, 4 Cs 5.15-5.61
12 K 0.8597 0.2296 0.1148  8 K 5.09-5.48, 4 Cs 5.15-5.61
13 K 0.8597 0.8852 0.7704  8 K 5.09-5.48, 4 Cs 5.15-5.61
14 K 0.8597 0.8852 0.1148  8 K 5.09-5.48, 4 Cs 5.15-5.61
15 K 0.7038 0.9479 0.4739  5 Cs 4.45-4.61, 2 K 4.82, 1 O 4.98
16 K 0.7038 0.5261 0.0521  5 Cs 4.45-4.61, 2 K 4.82, 1 O 4.98
17 K 0.7038 0.5261 0.4739  5 Cs 4.45-4.61, 2 K 4.82, 1 O 4.98
18 K 0.2038 0.0521 0.5261  5 Cs 4.45-4.61, 2 K 4.82, 1 O 4.98
19 K 0.2038 0.4739 0.9479  5 Cs 4.45-4.61, 2 K 4.82, 1 O 4.98
20 K 0.2038 0.4739 0.5261  5 Cs 4.45-4.61, 2 K 4.82, 1 O 4.98
21 O 0.7716 0.3333 0.6667  4 Cs 2.64-2.69
22 O 0.2716 0.6667 0.3333  4 Cs 2.64-2.69

---

Calculated ΔE_f (raw) (meV/atom), listed in the same order as above: -203 -225